1.
CeVSb2: optimized geometry, PBE.

POSCAR file:
```
CeVSb2
1.0
3.2638 0.0000 0.0000
1.6319 2.8266 0.0000
1.6319 0.9422 10.4727
Sb Ce V
2 1 1
Direct
0.8967 0.8967 0.3098
0.1033 0.1033 0.6902
0.0000 0.0000 0.0000
0.5000 0.5000 0.5000
```

Properties
N(E_F) = 1.80 states/eV/atom
energy relative to the elements, uncorrected = 0.04 eV per atom
total DFT energy (no corrections) = -5.78 eV/atom
spin magnetization = 0.267 μB per atom
excess energy over the best structure of this formula in the dataset = 1.13 eV per formula unit

***

2.
Ti3Nb3Pt: optimized geometry, PBE.

POSCAR file:
```
Ti3Nb3Pt
1.0
6.2747 0.1390 2.9585
1.9322 5.9715 2.9586
0.1866 0.1390 6.9347
Ti Nb Pt
6 6 2
Direct
0.9341 0.4631 0.7273
0.0659 0.5369 0.2727
0.5369 0.2727 0.0659
0.7273 0.9341 0.4631
0.2727 0.0659 0.5369
0.4631 0.7273 0.9341
0.1322 0.6756 0.8082
0.6756 0.8082 0.1322
0.1918 0.8678 0.3244
0.3244 0.1918 0.8678
0.8678 0.3244 0.1918
0.8082 0.1322 0.6756
0.5849 0.5849 0.5849
0.4151 0.4151 0.4151
```

Properties
N(E_F) = 1.45 states/eV/atom
total DFT energy (no corrections) = -8.57 eV/atom
spin magnetization = 0.000 μB per atom

***

3.
Li5Cd2Pt: optimized geometry, PBE.

POSCAR file:
```
Li5Cd2Pt
1.0
-0.4145 -1.7300 -4.2332
-2.7673 -3.2891 1.6151
-3.3076 6.1382 0.3057
Cd Li Pt
2 5 1
Direct
0.2395 0.2395 0.4790
0.7605 0.7605 0.5210
0.6133 0.1133 0.2266
0.5000 0.5000 0.0000
0.1133 0.6133 0.2266
0.3867 0.8867 0.7734
0.8867 0.3867 0.7734
0.0000 0.0000 0.0000
```

Properties
N(E_F) = 0.32 states/eV/atom
total DFT energy (no corrections) = -2.50 eV/atom
spin magnetization = 0.000 μB per atom

***

4.
Tb2Os2C3: optimized geometry, PBE.

POSCAR file:
```
Tb2Os2C3
1.0
3.3028 0.0000 -0.9101
-0.6277 5.1168 -2.2778
-0.1250 0.0823 5.9941
C Tb Os
3 2 2
Direct
0.2521 0.7285 0.5042
0.7479 0.2715 0.4958
0.0000 0.0000 0.0000
0.3908 0.1816 0.7815
0.6092 0.8184 0.2185
0.8430 0.6790 0.6860
0.1570 0.3210 0.3140
```

Properties
N(E_F) = 0.33 states/eV/atom
total DFT energy (no corrections) = -8.70 eV/atom
spin magnetization = 0.000 μB per atom

***

5.
PrGeIr2: optimized geometry, PBE.

POSCAR file:
```
PrGeIr2
1.0
-2.5680 0.3256 -3.1482
-2.8555 -1.9869 2.1237
-3.2742 8.4996 3.5498
Pr Ir Ge
2 4 2
Direct
0.5000 0.0000 0.2031
0.0000 0.5000 0.7969
0.0000 0.5000 0.1077
0.0000 0.0000 0.5000
0.5000 0.5000 0.5000
0.5000 0.0000 0.8923
0.5000 0.0000 0.6447
0.0000 0.5000 0.3553
```

Properties
N(E_F) = 0.80 states/eV/atom
total DFT energy (no corrections) = -7.26 eV/atom
spin magnetization = 0.000 μB per atom

***

6.
ZnCdBr2: optimized geometry, PBE.

POSCAR file:
```
ZnCdBr2
1.0
-2.6683 1.7482 2.6668
1.6080 -3.8015 0.5010
7.8522 4.0102 5.2277
Cd Br Zn
1 2 1
Direct
0.5000 0.5000 0.2500
0.0000 0.0000 0.4308
0.0000 0.0000 0.0692
0.5000 0.5000 0.7500
```

Properties
energy relative to the elements, uncorrected = -0.28 eV per atom
total DFT energy (no corrections) = -1.66 eV/atom
spin magnetization = 0.000 μB per atom
excess energy over the best structure of this formula in the dataset = 0.86 eV per formula unit

***

7.
SrLiPmCd: optimized geometry, PBE.

POSCAR file:
```
SrLiPmCd
1.0
5.5678 0.0000 0.0000
2.7839 4.8219 0.0000
2.7839 1.6073 4.5461
Sr Pm Li Cd
1 1 1 1
Direct
0.0000 0.0000 0.0000
0.5000 0.5000 0.5000
0.2500 0.2500 0.2500
0.7500 0.7500 0.7500
```

Properties
N(E_F) = 0.82 states/eV/atom
total DFT energy (no corrections) = -2.41 eV/atom
spin magnetization = 0.000 μB per atom

***

8.
LiCdInBr6: optimized geometry, PBE.

POSCAR file:
```
LiCdInBr6
1.0
6.3508 0.0000 0.0000
0.0000 6.9455 0.0000
0.0000 -3.4727 6.0149
In Cd Li Br
1 1 1 6
Direct
0.5000 0.0000 0.0000
0.5000 0.6667 0.3333
0.0000 0.3333 0.6667
0.7467 0.6814 0.6754
0.7467 0.9940 0.3186
0.2533 0.6814 0.0060
0.2533 0.3246 0.3186
0.7467 0.3246 0.0060
0.2533 0.9940 0.6754
```

Properties
N(E_F) = 0.00 states/eV/atom
energy relative to the elements, uncorrected = -0.94 eV per atom
total DFT energy (no corrections) = -2.68 eV/atom
spin magnetization = 0.000 μB per atom

***

9.
NpCo4Ir: optimized geometry, PBE.

POSCAR file:
```
NpCo4Ir
1.0
-4.1056 0.7209 -2.4883
-0.7321 -2.3215 -4.2002
-3.3225 -3.5287 -0.2760
Co Ir Np
4 1 1
Direct
0.6236 0.1291 0.6236
0.6236 0.6236 0.1291
0.1291 0.6236 0.6236
0.6236 0.6236 0.6236
0.2500 0.2500 0.2500
0.0000 0.0000 0.0000
```

Properties
N(E_F) = 1.59 states/eV/atom
total DFT energy (no corrections) = -8.44 eV/atom
spin magnetization = 0.517 μB per atom

***

10.
PuCdPt2: optimized geometry, PBE.

POSCAR file:
```
PuCdPt2
1.0
-0.6665 3.3439 0.2301
-0.7990 0.0693 -3.3219
-6.4465 -1.3896 1.5215
Cd Pt Pu
1 2 1
Direct
0.5000 0.5000 0.0000
0.0000 0.0000 0.2335
0.0000 0.0000 0.7665
0.5000 0.5000 0.5000
```

Properties
N(E_F) = 3.06 states/eV/atom
total DFT energy (no corrections) = -7.34 eV/atom
spin magnetization = 1.276 μB per atom

***

11.
HfPtRh3: optimized geometry, PBE.

POSCAR file:
```
HfPtRh3
1.0
5.4048 0.0000 0.0000
0.0000 5.7473 0.8188
0.0000 -2.1629 5.3874
Pt Rh Hf
2 6 2
Direct
0.0000 0.0000 0.0000
0.5000 0.0000 0.0000
0.7500 0.6745 0.6999
0.7500 0.2501 0.7499
0.2500 0.7499 0.2501
0.2500 0.3255 0.3001
0.2500 0.6999 0.6745
0.7500 0.3001 0.3255
0.2500 0.2744 0.7256
0.7500 0.7256 0.2744
```

Properties
N(E_F) = 0.82 states/eV/atom
total DFT energy (no corrections) = -7.78 eV/atom
spin magnetization = 0.000 μB per atom
excess energy over the best structure of this formula in the dataset = 1.80 eV per formula unit

***

12.
Ge2Pd3Pt3: optimized geometry, PBE.

POSCAR file:
```
Ge2Pd3Pt3
1.0
-1.0629 4.2617 -1.5339
-4.3638 -1.6490 -1.5574
-0.1622 -0.3310 6.2481
Pd Pt Ge
3 3 2
Direct
0.6336 0.0844 0.2672
0.3664 0.9156 0.7328
0.5000 0.5000 0.0000
0.1280 0.5879 0.2561
0.0000 0.0000 0.0000
0.8720 0.4121 0.7439
0.7470 0.7367 0.4941
0.2530 0.2633 0.5059
```

Properties
N(E_F) = 0.53 states/eV/atom
total DFT energy (no corrections) = -5.58 eV/atom
spin magnetization = 0.000 μB per atom

***

13.
Cu2AsAuSe4: optimized geometry, PBE.

POSCAR file:
```
Cu2AsAuSe4
1.0
5.7988 0.2403 0.0000
-0.2416 5.7987 0.0000
-2.7786 -3.0195 5.5791
As Se Au Cu
1 4 1 2
Direct
0.4999 0.4999 0.9999
0.1234 0.1234 0.7296
0.3939 0.8766 0.2704
0.8766 0.3939 0.2704
0.6063 0.6063 0.7296
0.0002 0.0002 0.0003
0.2500 0.7500 0.5001
0.7500 0.2500 0.5001
```

Properties
N(E_F) = 0.37 states/eV/atom
energy relative to the elements, uncorrected = -0.09 eV per atom
total DFT energy (no corrections) = -3.85 eV/atom
spin magnetization = 0.000 μB per atom

***

14.
Nb2TlZn: optimized geometry, PBE.

POSCAR file:
```
Nb2TlZn
1.0
-0.8553 -3.6455 1.2728
0.9326 -1.4601 -3.5552
9.8599 -3.7815 1.9397
Tl Nb Zn
2 4 2
Direct
0.7500 0.2500 0.5000
0.0000 0.0000 0.0000
0.6194 0.1250 0.2500
0.8750 0.8694 0.7500
0.1306 0.6250 0.2500
0.3750 0.3806 0.7500
0.5000 0.5000 0.0000
0.2500 0.7500 0.5000
```

Properties
N(E_F) = 1.01 states/eV/atom
total DFT energy (no corrections) = -5.37 eV/atom
spin magnetization = 0.000 μB per atom

***

15.
K2HSO: optimized geometry, PBE.

POSCAR file:
```
K2HSO
1.0
-3.1431 -3.8679 2.1815
2.1035 -2.6233 -1.6205
3.2124 -0.1351 4.3887
S K H O
1 2 1 1
Direct
0.0000 0.5000 0.0000
0.0000 0.0000 0.5000
0.5000 0.0000 0.0000
0.5000 0.5000 0.5000
0.0000 0.0000 0.0000
```

Properties
N(E_F) = 0.86 states/eV/atom
total DFT energy (no corrections) = -3.38 eV/atom
spin magnetization = 0.000 μB per atom

***

16.
Na4LaCe3Te8: optimized geometry, PBE.

POSCAR file:
```
Na4LaCe3Te8
1.0
-1.0383 -1.3405 -9.0447
4.0910 -8.1935 0.7435
-7.3085 1.9942 5.2255
Ce Te Na La
3 8 4 1
Direct
0.5000 0.5000 0.5000
0.0000 0.5000 0.5000
0.5000 0.5000 0.0000
0.7441 0.7404 0.9923
0.2482 0.7404 0.4963
0.7518 0.2596 0.0077
0.2482 0.7404 0.9923
0.7463 0.7389 0.4926
0.2537 0.2611 0.5074
0.2559 0.2596 0.0077
0.7518 0.2596 0.5037
0.5000 0.0000 0.0000
0.5000 0.0000 0.5000
0.0000 0.0000 0.5000
0.0000 0.0000 0.0000
0.0000 0.5000 0.0000
```

Properties
N(E_F) = 1.26 states/eV/atom
energy relative to the elements, uncorrected = -1.29 eV per atom
total DFT energy (no corrections) = -4.62 eV/atom
spin magnetization = 0.188 μB per atom

***

17.
ReS: optimized geometry, PBE.

POSCAR file:
```
ReS
1.0
-1.7452 2.2860 0.6895
-0.5513 -2.5062 2.8544
6.2760 3.6288 2.4855
Re S
2 2
Direct
0.2668 0.5905 0.9491
0.9352 0.1351 0.1360
0.4927 0.2417 0.3714
0.8787 0.9264 0.8025
```

Properties
N(E_F) = 0.63 states/eV/atom
energy relative to the elements, uncorrected = 0.07 eV per atom
total DFT energy (no corrections) = -8.22 eV/atom
spin magnetization = 0.000 μB per atom
excess energy over the best structure of this formula in the dataset = 0.27 eV per formula unit

***

18.
HoThZrIn: optimized geometry, PBE.

POSCAR file:
```
HoThZrIn
1.0
-2.9064 2.8005 -3.5057
1.5149 0.2655 -5.1200
-2.8284 -2.5389 -3.7596
Ho In Zr Th
1 1 1 1
Direct
0.5000 0.5000 0.5000
0.7500 0.7500 0.7500
0.2500 0.2500 0.2500
0.0000 0.0000 0.0000
```

Properties
N(E_F) = 0.78 states/eV/atom
total DFT energy (no corrections) = -5.86 eV/atom
spin magnetization = 0.000 μB per atom

***

19.
Nb2CoB: optimized geometry, PBE.

POSCAR file:
```
Nb2CoB
1.0
3.3480 0.0000 0.0000
1.6740 2.8990 0.0105
1.6740 0.9387 5.6910
Nb B Co
2 1 1
Direct
0.7026 0.4661 0.1286
0.9056 0.6679 0.5209
0.4553 0.2184 0.8709
0.1468 0.9095 0.7969
```

Properties
N(E_F) = 0.68 states/eV/atom
total DFT energy (no corrections) = -8.55 eV/atom
spin magnetization = 0.000 μB per atom

***

20.
BaZnSi2: optimized geometry, PBE.

POSCAR file:
```
BaZnSi2
1.0
3.8223 0.0000 0.0000
0.0000 4.0953 -0.5686
0.0000 0.8509 6.1424
Si Ba Zn
2 1 1
Direct
0.5000 0.1250 0.3322
0.0000 0.1250 0.0743
0.5000 0.6249 0.7936
0.0000 0.6251 0.2999
```

Properties
N(E_F) = 0.33 states/eV/atom
energy relative to the elements, uncorrected = -0.10 eV per atom
total DFT energy (no corrections) = -3.61 eV/atom
spin magnetization = 0.000 μB per atom

***

21.
ScTe2PPb: optimized geometry, PBE.

POSCAR file:
```
ScTe2PPb
1.0
-3.3206 3.6036 -3.0437
-3.7130 -0.5307 3.4224
2.1108 4.4640 2.9822
Te Sc Pb P
2 1 1 1
Direct
0.0000 0.0000 0.5000
0.5000 0.0000 0.0000
0.5000 0.5000 0.5000
0.0000 0.0000 0.0000
0.0000 0.5000 0.0000
```

Properties
N(E_F) = 0.84 states/eV/atom
energy relative to the elements, uncorrected = 0.62 eV per atom
total DFT energy (no corrections) = -3.73 eV/atom
spin magnetization = 0.000 μB per atom

***

22.
Sm3BeRh3: optimized geometry, PBE.

POSCAR file:
```
Sm3BeRh3
1.0
-3.2451 -1.0611 -2.1900
-2.0641 -5.0551 1.7514
-9.4999 5.5495 7.6314
Rh Be Sm
6 2 6
Direct
0.8740 0.1724 0.0796
0.8265 0.8066 0.5403
0.9576 0.8402 0.2446
0.1260 0.8276 0.9204
0.1735 0.1934 0.4597
0.0424 0.1598 0.7554
0.2356 0.9267 0.6021
0.7644 0.0733 0.3979
0.4747 0.6652 0.3854
0.6039 0.7142 0.0779
0.3961 0.2858 0.9221
0.7457 0.7397 0.7689
0.2543 0.2603 0.2311
0.5253 0.3348 0.6146
```

Properties
N(E_F) = 0.49 states/eV/atom
total DFT energy (no corrections) = -6.37 eV/atom
spin magnetization = 0.000 μB per atom

***

23.
CeNd2YAs4: optimized geometry, PBE.

POSCAR file:
```
CeNd2YAs4
1.0
4.2208 0.0000 0.0000
0.0000 7.2981 0.1279
0.0000 -2.5504 6.8554
Y Nd As Ce
1 2 4 1
Direct
0.0000 0.0000 0.0000
0.5000 0.0000 0.5000
0.0000 0.5000 0.5000
0.0000 0.7486 0.2427
0.5000 0.2469 0.2414
0.0000 0.2514 0.7573
0.5000 0.7531 0.7586
0.5000 0.5000 0.0000
```

Properties
N(E_F) = 0.79 states/eV/atom
total DFT energy (no corrections) = -6.57 eV/atom
spin magnetization = 0.067 μB per atom

***

24.
Nb2SO: optimized geometry, PBE.

POSCAR file:
```
Nb2SO
1.0
3.2707 -2.6642 0.2121
-0.5988 -3.9817 1.2757
0.3205 -3.1750 -2.7671
O Nb S
1 2 1
Direct
0.0000 0.0000 0.0000
0.7500 0.7500 0.7500
0.2500 0.2500 0.2500
0.5000 0.5000 0.5000
```

Properties
N(E_F) = 0.80 states/eV/atom
energy relative to the elements, uncorrected = -0.73 eV per atom
total DFT energy (no corrections) = -8.04 eV/atom
spin magnetization = 0.000 μB per atom
excess energy over the best structure of this formula in the dataset = 0.73 eV per formula unit

***

25.
DyTmMn: optimized geometry, PBE.

POSCAR file:
```
DyTmMn
1.0
-2.8669 1.6771 0.9352
-1.1813 -2.8653 1.5169
4.7791 2.3051 4.1513
Tm Dy Mn
1 1 1
Direct
0.0305 0.0305 0.0610
0.3042 0.3042 0.6085
0.6652 0.6652 0.3305
```

Properties
N(E_F) = 1.37 states/eV/atom
total DFT energy (no corrections) = -5.95 eV/atom
spin magnetization = 0.882 μB per atom
excess energy over the best structure of this formula in the dataset = 0.00 eV per formula unit

***

26.
AsOs2Cl: optimized geometry, PBE.

POSCAR file:
```
AsOs2Cl
1.0
2.9220 -0.0025 0.0000
-1.5666 2.4666 0.0000
0.0000 0.0000 10.0170
Os As Cl
2 1 1
Direct
0.5000 0.5000 0.2326
0.0000 0.0000 0.0109
0.0000 0.0000 0.4455
0.5000 0.5000 0.8110
```

Properties
N(E_F) = 1.20 states/eV/atom
energy relative to the elements, uncorrected = 0.62 eV per atom
total DFT energy (no corrections) = -6.62 eV/atom
spin magnetization = 0.000 μB per atom
excess energy over the best structure of this formula in the dataset = 1.36 eV per formula unit